Run i
Below is an optimized crystal structure of BaNdHo, with properties calculated at the PBE level.

- V: 118.3 Å³/cell
- Space-group type: No. 156
- Crystal system: trigonal
- Total magnetization: 0.00 μB per cell

Unit cell a=3.8010 b=3.8010 c=9.4573 alpha=90.00 beta=90.00 gamma=120.00
Fractional positions:
Ba1 0.0000 0.0000 0.0000
Nd1 0.3333 0.6667 0.6385
Ho1 0.6667 0.3333 0.3477

***

Run ii
Below is an optimized crystal structure of BaNdHo, with properties calculated at the PBE level.

- V: 240.8 Å³/cell
- Space-group type: No. 107
- Crystal system: tetragonal
- Total magnetization: 0.00 μB per cell

Unit cell a=3.8139 b=3.8139 c=16.5577 alpha=90.00 beta=90.00 gamma=90.00
Fractional positions:
Ba1 0.0000 0.0000 0.0000
Ba2 0.5000 0.5000 0.5000
Nd1 0.0000 0.0000 0.6834
Nd2 0.5000 0.5000 0.1834
Ho1 0.0000 0.0000 0.3199
Ho2 0.5000 0.5000 0.8199

***

run ii comes first in stability; the runner-up is 0.012 eV/atom higher.

***

Run i
Below is an optimized crystal structure of BaNdHo2, with properties calculated at the PBE level.

- V: 149.8 Å³/cell
- Space-group type: No. 123
- Crystal system: tetragonal
- Total magnetization: 0.00 μB per cell

Unit cell a=3.7244 b=3.7244 c=10.8028 alpha=90.00 beta=90.00 gamma=90.00
Fractional positions:
Ba1 0.0000 0.0000 0.0000
Nd1 0.0000 0.0000 0.5000
Ho1 0.5000 0.5000 0.2803
Ho2 0.5000 0.5000 0.7197

***

Run ii
Below is an optimized crystal structure of BaNdHo2, with properties calculated at the PBE level.

- V: 442.6 Å³/cell
- Space-group type: No. 166
- Crystal system: trigonal
- Total magnetization: 0.03 μB per cell

Unit cell a=3.6317 b=3.6317 c=38.7532 alpha=90.00 beta=90.00 gamma=120.00
Fractional positions:
Ba1 0.0000 0.0000 0.0000
Ba2 0.3333 0.6667 0.6667
Ba3 0.6667 0.3333 0.3333
Nd1 0.0000 0.0000 0.5000
Nd2 0.3333 0.6667 0.1667
Nd3 0.6667 0.3333 0.8333
Ho1 0.0000 0.0000 0.0930
Ho2 0.0000 0.0000 0.9070
Ho3 0.3333 0.6667 0.5736
Ho4 0.3333 0.6667 0.7597
Ho5 0.6667 0.3333 0.2403
Ho6 0.6667 0.3333 0.4264

***

run i comes first in stability; the runner-up is 0.075 eV/atom higher.

***

Run i
Below is an optimized crystal structure of BaHoO2, with properties calculated at the PBE level.

- V: 509.5 Å³/cell
- Space-group type: No. 63
- Crystal system: orthorhombic
- Total magnetization: 0.00 μB per cell

Unit cell a=6.8435 b=11.2899 c=6.5946 alpha=90.00 beta=90.00 gamma=90.00
Fractional positions:
Ba1 0.0000 0.1319 0.2500
Ba2 0.0000 0.8681 0.7500
Ba3 0.5000 0.3681 0.7500
Ba4 0.5000 0.6319 0.2500
Ho1 0.0000 0.5000 0.0000
Ho2 0.0000 0.5000 0.5000
Ho3 0.5000 0.0000 0.0000
Ho4 0.5000 0.0000 0.5000
O1 0.2134 0.4976 0.7500
O2 0.2134 0.5024 0.2500
O3 0.2866 0.0024 0.2500
O4 0.2866 0.9976 0.7500
O5 0.7134 0.0024 0.2500
O6 0.7134 0.9976 0.7500
O7 0.7866 0.4976 0.7500
O8 0.7866 0.5024 0.2500

***

Run ii
Below is an optimized crystal structure of BaHoO2, with properties calculated at the PBE level.

- V: 206.3 Å³/cell
- Space-group type: No. 166
- Crystal system: trigonal
- Total magnetization: 0.00 μB per cell

Unit cell a=3.5330 b=3.5330 c=19.0820 alpha=90.00 beta=90.00 gamma=120.00
Fractional positions:
Ba1 0.0000 0.0000 0.0000
Ba2 0.3333 0.6667 0.6667
Ba3 0.6667 0.3333 0.3333
Ho1 0.0000 0.0000 0.5000
Ho2 0.3333 0.6667 0.1667
Ho3 0.6667 0.3333 0.8333
O1 0.0000 0.0000 0.2266
O2 0.0000 0.0000 0.7734
O3 0.3333 0.6667 0.4401
O4 0.3333 0.6667 0.8932
O5 0.6667 0.3333 0.1068
O6 0.6667 0.3333 0.5599

***

Run iii
Below is an optimized crystal structure of BaHoO2, with properties calculated at the PBE level.

- V: 212.9 Å³/cell
- Space-group type: No. 160
- Crystal system: trigonal
- Total magnetization: 0.96 μB per cell

Unit cell a=3.5053 b=3.5053 c=20.0098 alpha=90.00 beta=90.00 gamma=120.00
Fractional positions:
Ba1 0.0000 0.0000 0.0000
Ba2 0.3333 0.6667 0.6667
Ba3 0.6667 0.3333 0.3333
Ho1 0.0000 0.0000 0.8266
Ho2 0.3333 0.6667 0.4933
Ho3 0.6667 0.3333 0.1600
O1 0.0000 0.0000 0.2177
O2 0.0000 0.0000 0.4353
O3 0.3333 0.6667 0.1020
O4 0.3333 0.6667 0.8844
O5 0.6667 0.3333 0.5511
O6 0.6667 0.3333 0.7686

***

run ii comes first in stability; the runner-up is 0.110 eV/atom higher.

***

Run i
Below is an optimized crystal structure of BaHo2O4, with properties calculated at the PBE level.

- V: 223.9 Å³/cell
- Space-group type: No. 63
- Crystal system: orthorhombic
- Total magnetization: 0.00 μB per cell

Unit cell a=5.9250 b=5.9250 c=11.4763 alpha=90.00 beta=90.00 gamma=146.24
Fractional positions:
Ba1 0.1119 0.8881 0.7500
Ba2 0.8881 0.1119 0.2500
Ho1 0.3655 0.6345 0.5707
Ho2 0.3655 0.6345 0.9293
Ho3 0.6345 0.3655 0.0707
Ho4 0.6345 0.3655 0.4293
O1 0.0000 0.0000 0.0000
O2 0.0000 0.0000 0.5000
O3 0.2598 0.7402 0.1015
O4 0.2598 0.7402 0.3985
O5 0.4374 0.5626 0.7500
O6 0.5626 0.4374 0.2500
O7 0.7402 0.2598 0.6015
O8 0.7402 0.2598 0.8985

***

Run ii
Below is an optimized crystal structure of BaHo2O4, with properties calculated at the PBE level.

- V: 441.3 Å³/cell
- Space-group type: No. 62
- Crystal system: orthorhombic
- Total magnetization: 0.00 μB per cell

Unit cell a=10.4738 b=3.4653 c=12.1582 alpha=90.00 beta=90.00 gamma=90.00
Fractional positions:
Ba1 0.2467 0.2500 0.1490
Ba2 0.2533 0.7500 0.6490
Ba3 0.7467 0.2500 0.3510
Ba4 0.7533 0.7500 0.8510
Ho1 0.0734 0.2500 0.3892
Ho2 0.0775 0.2500 0.8911
Ho3 0.4224 0.7500 0.3911
Ho4 0.4266 0.7500 0.8892
Ho5 0.5734 0.2500 0.1108
Ho6 0.5776 0.2500 0.6089
Ho7 0.9224 0.7500 0.1089
Ho8 0.9266 0.7500 0.6108
O1 0.0190 0.7500 0.7827
O2 0.0698 0.2500 0.5739
O3 0.1145 0.7500 0.0180
O4 0.2094 0.7500 0.3426
O5 0.2906 0.2500 0.8426
O6 0.3855 0.2500 0.5180
O7 0.4302 0.7500 0.0739
O8 0.4810 0.2500 0.2827
O9 0.5190 0.7500 0.7173
O10 0.5698 0.2500 0.9261
O11 0.6145 0.7500 0.4820
O12 0.7094 0.7500 0.1574
O13 0.7906 0.2500 0.6574
O14 0.8855 0.2500 0.9820
O15 0.9302 0.7500 0.4261
O16 0.9810 0.2500 0.2173

***

Run iii
Below is an optimized crystal structure of BaHo2O4, with properties calculated at the PBE level.

- V: 268.1 Å³/cell
- Space-group type: No. 65
- Crystal system: orthorhombic
- Total magnetization: 0.00 μB per cell

Unit cell a=7.7468 b=10.8256 c=3.1969 alpha=90.00 beta=90.00 gamma=90.00
Fractional positions:
Ba1 0.0000 0.0000 0.0000
Ba2 0.5000 0.5000 0.0000
Ho1 0.0000 0.3666 0.5000
Ho2 0.0000 0.6334 0.5000
Ho3 0.5000 0.1334 0.5000
Ho4 0.5000 0.8666 0.5000
O1 0.0000 0.2366 0.0000
O2 0.0000 0.7634 0.0000
O3 0.1650 0.5000 0.0000
O4 0.3350 0.0000 0.0000
O5 0.5000 0.2634 0.0000
O6 0.5000 0.7366 0.0000
O7 0.6650 0.0000 0.0000
O8 0.8350 0.5000 0.0000

***

run ii comes first in stability; the runner-up is 0.041 eV/atom higher.

***

Run i
Below is an optimized crystal structure of BaHoPd2, with properties calculated at the PBE level.

- V: 100.9 Å³/cell
- Space-group type: No. 123
- Crystal system: tetragonal
- Total magnetization: 0.00 μB per cell

Unit cell a=3.6339 b=3.6339 c=7.6372 alpha=90.00 beta=90.00 gamma=90.00
Fractional positions:
Ba1 0.0000 0.0000 0.0000
Ho1 0.0000 0.0000 0.5000
Pd1 0.5000 0.5000 0.3047
Pd2 0.5000 0.5000 0.6953

***

Run ii
Below is an optimized crystal structure of BaHoPd2, with properties calculated at the PBE level.

- V: 100.0 Å³/cell
- Space-group type: No. 123
- Crystal system: tetragonal
- Total magnetization: 0.00 μB per cell

Unit cell a=5.2655 b=5.2655 c=3.6055 alpha=90.00 beta=90.00 gamma=90.00
Fractional positions:
Ba1 0.0000 0.0000 0.0000
Ho1 0.5000 0.5000 0.0000
Pd1 0.0000 0.5000 0.5000
Pd2 0.5000 0.0000 0.5000

***

Run iii
Below is an optimized crystal structure of BaHoPd2, with properties calculated at the PBE level.

- V: 341.7 Å³/cell
- Space-group type: No. 166
- Crystal system: trigonal
- Total magnetization: 0.00 μB per cell

Unit cell a=4.7424 b=4.7424 c=17.5456 alpha=90.00 beta=90.00 gamma=120.00
Fractional positions:
Ba1 0.0000 0.0000 0.0000
Ba2 0.3333 0.6667 0.6667
Ba3 0.6667 0.3333 0.3333
Ho1 0.0000 0.0000 0.5000
Ho2 0.3333 0.6667 0.1667
Ho3 0.6667 0.3333 0.8333
Pd1 0.0000 0.0000 0.2098
Pd2 0.0000 0.0000 0.7902
Pd3 0.3333 0.6667 0.4569
Pd4 0.3333 0.6667 0.8764
Pd5 0.6667 0.3333 0.1236
Pd6 0.6667 0.3333 0.5431

***

run i comes first in stability; the runner-up is 0.077 eV/atom higher.